Sm2PbW2 | PBE | relaxed

abc: 11.3068 8.1016 5.4600
angles: 90.00 90.00 90.00
With the nearest neighbours (Å) after each atom.
Space group Cmcm (No. 63)
Unique sites:
Sm1 0.1690 0.1551 0.2500 x8  4 W 3.11-3.18, 3 Pb 3.35-3.46
Pb1 0.0000 0.2004 0.7500 x4  4 W 3.05, 4 Sm 3.35
W1 0.1105 0.5000 0.0000 x8  3 W 2.50-2.73

Calculated total energy ... -7.432 eV per atom
Theoretical density ... 11.63 Mg/m³

CsNb3Te3 | PBE | relaxed

abc: 10.3818 4.8150 10.4322
angles: 90.00 118.80 90.00
With the nearest neighbours (Å) after each atom.
Space group P2_1/m (No. 11)
Unique sites:
Cs1 0.1676 0.2500 0.3264 x2  9 Te 3.85-4.09
Nb1 0.3144 0.7500 0.8362 x2  5 Nb 2.71-2.96, 4 Te 2.86-2.89
Nb2 0.3875 0.2500 0.0221 x2  6 Nb 2.71-2.95, 2 Te 2.98
Nb3 0.4638 0.2500 0.8068 x2  5 Nb 2.72-2.96, 4 Te 2.87-2.89
Te1 0.1519 0.2500 0.7110 x2  4 Nb 2.87-2.98
Te2 0.2207 0.7500 0.0527 x2  4 Nb 2.86-3.07
Te3 0.4514 0.7500 0.6518 x2  4 Nb 2.87-2.98

Calculated total energy ... -6.375 eV per atom
Theoretical density ... 5.77 Mg/m³

Re5W | PBE | relaxed

abc: 5.1030 8.8406 8.3300
angles: 90.00 90.00 90.00
With the nearest neighbours (Å) after each atom.
Space group Cmcm (No. 63)
Unique sites:
Re1 0.0000 0.0000 0.0000 x4  2 W 2.58, 4 Re 2.58
Re2 0.0000 0.3335 0.0669 x8  13 Re 2.96-3.15, 3 W 2.97-3.00
Re3 0.2410 0.4155 0.7500 x8  4 Re 2.46-2.64, 2 W 2.48-2.62
W1 0.0000 0.1716 0.7500 x4  6 Re 2.48-2.62

ΔH_f (0 K) ... 0.31 eV/atom
Theoretical density ... 19.71 Mg/m³

TaBeCu2 | PBE | relaxed

abc: 5.8429 5.8429 5.8429
angles: 90.00 90.00 90.00
With the nearest neighbours (Å) after each atom.
Space group F-43m (No. 216)
Unique sites:
Ta1 0.0000 0.0000 0.0000 x4  4 Be 2.53, 4 Cu 2.53
Be1 0.2500 0.2500 0.7500 x4  4 Ta 2.53, 4 Cu 2.53
Cu1 0.0000 0.0000 0.5000 x4  4 Be 2.53, 4 Cu 2.53
Cu2 0.2500 0.2500 0.2500 x4  4 Ta 2.53, 4 Cu 2.53

Calculated total energy ... -5.601 eV per atom
Theoretical density ... 10.56 Mg/m³

Y2Zn17 | PBE | relaxed

abc: 8.9460 8.9460 8.7246
angles: 90.00 90.00 120.00
With the nearest neighbours (Å) after each atom.
Space group P6_3/mmc (No. 194)
Unique sites:
Y1 0.0000 0.0000 0.2500 x2  18 Zn 3.13-3.45
Y2 0.3333 0.6667 0.2500 x2  20 Zn 3.06-3.38
Zn1 0.0000 0.5000 0.0000 x6  10 Zn 2.59-2.73
Zn2 0.0389 0.3677 0.7500 x12  8 Zn 2.59-2.73
Zn3 0.1617 0.3234 0.0221 x12  8 Zn 2.53-2.73
Zn4 0.3333 0.6667 0.6010 x4  7 Zn 2.60-2.87

ΔH_f (0 K) ... -0.24 eV/atom
Theoretical density ... 7.08 Mg/m³

Hf4Zn3Mo2N3 | PBE | relaxed

abc: 9.4556 5.4774 13.8175
angles: 90.00 102.81 90.00
With the nearest neighbours (Å) after each atom.
Space group C2/c (No. 15)
Unique sites:
Hf1 0.1134 0.0879 0.0964 x8  3 N 2.19-2.23
Hf2 0.2217 0.0825 0.4035 x8  3 N 2.18-2.24
Zn1 0.0000 0.1377 0.7500 x4  2 Zn 2.64, 2 Mo 2.79, 4 Hf 2.86-2.89
Zn2 0.1395 0.4433 0.2515 x8  2 Zn 2.63-2.64, 2 Mo 2.76-2.79, 4 Hf 2.85-2.89
Mo1 0.0555 0.4198 0.9228 x8  3 N 2.13-2.17
N1 0.0890 0.2329 0.4999 x8  2 Mo 2.17, 4 Hf 2.18-2.23
N2 0.2500 0.2500 0.0000 x4  2 Mo 2.13, 4 Hf 2.23-2.24

Calculated total energy ... -8.264 eV per atom
Theoretical density ... 10.89 Mg/m³

BeTlTcMo | PBE | relaxed

abc: 6.2844 6.2844 6.2844
angles: 90.00 90.00 90.00
With the nearest neighbours (Å) after each atom.
Space group F-43m (No. 216)
Unique sites:
Be1 0.0000 0.0000 0.0000 x4  4 Tl 2.72, 4 Mo 2.72
Tl1 0.2500 0.2500 0.2500 x4  4 Tc 2.72, 4 Be 2.72
Tc1 0.0000 0.0000 0.5000 x4  4 Tl 2.72, 4 Mo 2.72
Mo1 0.2500 0.2500 0.7500 x4  4 Tc 2.72, 4 Be 2.72

Calculated total energy ... -6.275 eV per atom
Theoretical density ... 10.90 Mg/m³

Sr2CuNiSn4 | PBE | relaxed

abc: 4.5633 4.6117 19.2171
angles: 90.00 90.00 90.00
With the nearest neighbours (Å) after each atom.
Space group Amm2 (No. 38)
Unique sites:
Sr1 0.0000 0.0000 0.0000 x2  4 Cu 3.47, 10 Sn 3.51-3.83
Sr2 0.5000 0.0000 0.2196 x2  10 Sn 3.44-3.69, 4 Ni 3.52
Cu1 0.5000 0.0000 0.4355 x2  5 Sn 2.57-2.75
Ni1 0.0000 0.0000 0.7911 x2  5 Sn 2.53-2.65
Sn1 0.0000 0.0000 0.3587 x2  2 Ni 2.65, 2 Cu 2.72
Sn2 0.0000 0.0000 0.6595 x2  1 Ni 2.53
Sn3 0.5000 0.0000 0.5695 x2  1 Cu 2.57, 2 Sn 2.86
Sn4 0.5000 0.0000 0.8575 x2  2 Ni 2.61, 2 Cu 2.75

Calculated total energy ... -4.043 eV per atom
Theoretical density ... 6.34 Mg/m³